# Er3TlS PBE optimized geometry
data_Er3TlS
_chemical_formula_sum 'Er3 Tl1 S1'
_symmetry_space_group_name_H-M 'P m -3 m'
_symmetry_Int_Tables_number 221
_symmetry_space_group_name_Hall '-P 4 2 3'
_cell_length_a 5.1111
_cell_length_b 5.1111
_cell_length_c 5.1111
_cell_angle_alpha 90.00
_cell_angle_beta 90.00
_cell_angle_gamma 90.00
loop_
_atom_site_label
_atom_site_type_symbol
_atom_site_fract_x
_atom_site_fract_y
_atom_site_fract_z
_atom_site_occupancy
Er1 Er 0.0000 0.0000 0.5000 1
Tl1 Tl 0.5000 0.5000 0.5000 1
S1 S 0.0000 0.0000 0.0000 1
# Polymorph energy (0 for the lowest one) ... 0.171 eV per atom
# Formation energy from raw total energies ... -0.791 eV per atom